[1]
Below is crystalline LaYVIn2 at its relaxed geometry, with properties calculated at the PBE-GGA level.

CIF file:
```
data_LaYVIn2
_chemical_formula_sum 'La1 Y1 V1 In2'
_cell_length_a 5.325
_cell_length_b 5.325
_cell_length_c 4.975
_cell_angle_alpha 90.00
_cell_angle_beta 90.00
_cell_angle_gamma 90.00
_space_group_name_H-M_alt 'P 4/m m m'
_space_group_IT_number 123
_space_group_name_Hall '-P 4 2'
loop_
_atom_site_label
_atom_site_fract_x
_atom_site_fract_y
_atom_site_fract_z
La1 0.000 0.000 0.000
Y1 0.500 0.500 0.000
V1 0.000 0.000 0.500
In1 0.000 0.500 0.500
```

Properties
E_tot	-25.01	eV for the cell shown
energy of formation	18.8	kJ per mole of atoms



[2]
Below is crystalline MnZnHg2 at its relaxed geometry, with properties calculated at the PBE-GGA level.

CIF file:
```
data_MnZnHg2
_chemical_formula_sum 'Mn4 Zn4 Hg8'
_cell_length_a 4.236
_cell_length_b 4.236
_cell_length_c 19.097
_cell_angle_alpha 90.00
_cell_angle_beta 90.00
_cell_angle_gamma 90.00
_space_group_name_H-M_alt 'I -4 2 d'
_space_group_IT_number 122
_space_group_name_Hall 'I -4 2bw'
loop_
_atom_site_label
_atom_site_fract_x
_atom_site_fract_y
_atom_site_fract_z
Mn1 0.000 0.000 0.000
Zn1 0.000 0.000 0.500
Hg1 0.250 0.250 0.125
```

Properties
E_tot	-38.34	eV for the cell shown
energy of formation	35.3	kJ per mole of atoms



[3]
Below is crystalline Pr2DyAu4 at its relaxed geometry, with properties calculated at the PBE-GGA level.

CIF file:
```
data_Pr2DyAu4
_chemical_formula_sum 'Pr4 Dy2 Au8'
_cell_length_a 5.331
_cell_length_b 5.331
_cell_length_c 15.247
_cell_angle_alpha 90.00
_cell_angle_beta 90.00
_cell_angle_gamma 90.00
_space_group_name_H-M_alt 'I 4/m m m'
_space_group_IT_number 139
_space_group_name_Hall '-I 4 2'
loop_
_atom_site_label
_atom_site_fract_x
_atom_site_fract_y
_atom_site_fract_z
Pr1 0.000 0.000 0.122
Dy1 0.000 0.000 0.500
Au1 0.000 0.000 0.316
Au2 0.000 0.500 0.000
```

Properties
E_tot	-59.12	eV for the cell shown
energy of formation	-31.6	kJ per mole of atoms



[4]
Below is crystalline TbDy6Tm at its relaxed geometry, with properties calculated at the PBE-GGA level.

CIF file:
```
data_TbDy6Tm
_chemical_formula_sum 'Tb1 Dy6 Tm1'
_cell_length_a 6.505
_cell_length_b 6.698
_cell_length_c 6.866
_cell_angle_alpha 118.85
_cell_angle_beta 102.88
_cell_angle_gamma 90.15
_space_group_name_H-M_alt 'P -1'
_space_group_IT_number 2
loop_
_space_group_symop_operation_xyz
'x,y,z'
'-x,-y,-z'
loop_
_atom_site_label
_atom_site_fract_x
_atom_site_fract_y
_atom_site_fract_z
Tb1 0.000 0.000 0.000
Dy1 0.231 0.576 0.482
Dy2 0.251 0.550 0.001
Dy3 0.271 0.095 0.524
Tm1 0.500 0.000 0.000
```

Properties
E_tot	-35.06	eV for the cell shown
energy of formation	20.0	kJ per mole of atoms



[5]
Below is crystalline Y4Pd12Au at its relaxed geometry, with properties calculated at the PBE-GGA level.

CIF file:
```
data_Y4Pd12Au
_chemical_formula_sum 'Y8 Pd24 Au2'
_cell_length_a 8.566
_cell_length_b 8.566
_cell_length_c 8.566
_cell_angle_alpha 90.00
_cell_angle_beta 90.00
_cell_angle_gamma 90.00
_space_group_name_H-M_alt 'I m -3 m'
_space_group_IT_number 229
_space_group_name_Hall '-I 4 2 3'
loop_
_atom_site_label
_atom_site_fract_x
_atom_site_fract_y
_atom_site_fract_z
Y1 0.250 0.250 0.250
Pd1 0.000 0.000 0.304
Pd2 0.000 0.250 0.500
Au1 0.000 0.000 0.000
```

Properties
E_tot	-208.23	eV for the cell shown
energy of formation	-71.9	kJ per mole of atoms



[6]
Below is crystalline Rb2S2O7 at its relaxed geometry, with properties calculated at the PBE-GGA level.

CIF file:
```
data_Rb2S2O7
_chemical_formula_sum 'Rb8 S8 O28'
_cell_length_a 7.780
_cell_length_b 7.790
_cell_length_c 13.425
_cell_angle_alpha 85.36
_cell_angle_beta 88.17
_cell_angle_gamma 87.59
_space_group_name_H-M_alt 'P -1'
_space_group_IT_number 2
loop_
_space_group_symop_operation_xyz
'x,y,z'
'-x,-y,-z'
loop_
_atom_site_label
_atom_site_fract_x
_atom_site_fract_y
_atom_site_fract_z
Rb1 0.122 0.169 0.361
Rb2 0.284 0.263 0.639
Rb3 0.314 0.607 0.161
Rb4 0.315 0.836 0.867
S1 0.197 0.116 0.101
S2 0.198 0.699 0.418
S3 0.210 0.342 0.910
S4 0.386 0.736 0.606
O1 0.043 0.073 0.161
O2 0.052 0.812 0.444
O3 0.066 0.405 0.850
O4 0.105 0.232 0.004
O5 0.149 0.539 0.379
O6 0.268 0.877 0.632
O7 0.281 0.621 0.527
O8 0.289 0.970 0.060
O9 0.301 0.476 0.955
O10 0.308 0.232 0.147
O11 0.326 0.218 0.863
O12 0.334 0.789 0.360
O13 0.411 0.603 0.688
O14 0.457 0.210 0.448
```

Properties
E_tot	-253.24	eV for the cell shown
E_form (uncorrected)	-161.5	kJ per mole of atoms



[7]
Below is crystalline Pr2SmAl at its relaxed geometry, with properties calculated at the PBE-GGA level.

CIF file:
```
data_Pr2SmAl
_chemical_formula_sum 'Pr2 Sm1 Al1'
_cell_length_a 3.619
_cell_length_b 3.619
_cell_length_c 9.412
_cell_angle_alpha 90.00
_cell_angle_beta 90.00
_cell_angle_gamma 90.00
_space_group_name_H-M_alt 'P 4/m m m'
_space_group_IT_number 123
_space_group_name_Hall '-P 4 2'
loop_
_atom_site_label
_atom_site_fract_x
_atom_site_fract_y
_atom_site_fract_z
Pr1 0.000 0.000 0.214
Sm1 0.500 0.500 0.500
Al1 0.500 0.500 0.000
```

Properties
E_tot	-18.58	eV for the cell shown
energy of formation	-13.4	kJ per mole of atoms



[8]
Below is crystalline Pr12InAg6 at its relaxed geometry, with properties calculated at the PBE-GGA level.

CIF file:
```
data_Pr12InAg6
_chemical_formula_sum 'Pr24 In2 Ag12'
_cell_length_a 10.538
_cell_length_b 10.538
_cell_length_c 10.538
_cell_angle_alpha 90.00
_cell_angle_beta 90.00
_cell_angle_gamma 90.00
_space_group_name_H-M_alt 'I m -3'
_space_group_IT_number 204
_space_group_name_Hall '-I 2 2 3'
loop_
_atom_site_label
_atom_site_fract_x
_atom_site_fract_y
_atom_site_fract_z
Pr1 0.000 0.191 0.282
In1 0.000 0.000 0.000
Ag1 0.000 0.370 0.500
```

Properties
E_tot	-159.47	eV for the cell shown
energy of formation	-12.9	kJ per mole of atoms



[9]
Below is crystalline PmTmGePd at its relaxed geometry, with properties calculated at the PBE-GGA level.

CIF file:
```
data_PmTmGePd
_chemical_formula_sum 'Pm4 Tm4 Ge4 Pd4'
_cell_length_a 7.140
_cell_length_b 7.140
_cell_length_c 7.140
_cell_angle_alpha 90.00
_cell_angle_beta 90.00
_cell_angle_gamma 90.00
_space_group_name_H-M_alt 'F -4 3 m'
_space_group_IT_number 216
_space_group_name_Hall 'F -4 2 3'
loop_
_atom_site_label
_atom_site_fract_x
_atom_site_fract_y
_atom_site_fract_z
Pm1 0.000 0.000 0.000
Tm1 0.000 0.000 0.500
Ge1 0.250 0.250 0.250
Pd1 0.250 0.250 0.750
```

Properties
E_tot	-88.51	eV for the cell shown
energy of formation	-74.7	kJ per mole of atoms



[10]
Below is crystalline NaPm2NpS4 at its relaxed geometry, with properties calculated at the PBE-GGA level.

CIF file:
```
data_NaPm2NpS4
_chemical_formula_sum 'Na1 Pm2 Np1 S4'
_cell_length_a 6.939
_cell_length_b 4.007
_cell_length_c 6.962
_cell_angle_alpha 90.00
_cell_angle_beta 109.57
_cell_angle_gamma 90.00
_space_group_name_H-M_alt 'P 1 2/m 1'
_space_group_IT_number 10
loop_
_space_group_symop_operation_xyz
'x,y,z'
'-x,-y,-z'
'-x,y,-z'
'x,-y,z'
loop_
_atom_site_label
_atom_site_fract_x
_atom_site_fract_y
_atom_site_fract_z
Na1 0.000 0.000 0.000
Pm1 0.500 0.000 0.500
Pm2 0.500 0.500 0.000
Np1 0.000 0.500 0.500
S1 0.243 0.000 0.744
S2 0.249 0.500 0.253
```

Properties
E_tot	-54.02	eV for the cell shown
E_form (uncorrected)	-165.8	kJ per mole of atoms



[11]
Below is crystalline Sc5Ga2Bi at its relaxed geometry, with properties calculated at the PBE-GGA level.

CIF file:
```
data_Sc5Ga2Bi
_chemical_formula_sum 'Sc20 Ga8 Bi4'
_cell_length_a 7.526
_cell_length_b 7.526
_cell_length_c 12.531
_cell_angle_alpha 90.00
_cell_angle_beta 90.00
_cell_angle_gamma 90.00
_space_group_name_H-M_alt 'I 4/m c m'
_space_group_IT_number 140
_space_group_name_Hall '-I 4 2c'
loop_
_atom_site_label
_atom_site_fract_x
_atom_site_fract_y
_atom_site_fract_z
Sc1 0.000 0.000 0.000
Sc2 0.153 0.347 0.142
Ga1 0.145 0.355 0.500
Bi1 0.000 0.000 0.250
```

Properties
E_tot	-184.41	eV for the cell shown
energy of formation	-54.4	kJ per mole of atoms



[12]
Below is crystalline NaSmAgCl5 at its relaxed geometry, with properties calculated at the PBE-GGA level.

CIF file:
```
data_NaSmAgCl5
_chemical_formula_sum 'Na4 Sm4 Ag4 Cl20'
_cell_length_a 7.971
_cell_length_b 13.145
_cell_length_c 9.984
_cell_angle_alpha 90.00
_cell_angle_beta 110.10
_cell_angle_gamma 90.00
_space_group_name_H-M_alt 'C 1 2/c 1'
_space_group_IT_number 15
loop_
_space_group_symop_operation_xyz
'x,y,z'
'-x,-y,-z'
'-x,y,-z+1/2'
'x,-y,z+1/2'
'x+1/2,y+1/2,z'
'-x+1/2,-y+1/2,-z'
'-x+1/2,y+1/2,-z+1/2'
'x+1/2,-y+1/2,z+1/2'
loop_
_atom_site_label
_atom_site_fract_x
_atom_site_fract_y
_atom_site_fract_z
Na1 0.000 0.076 0.250
Sm1 0.000 0.500 0.000
Ag1 0.000 0.212 0.750
Cl1 0.000 0.415 0.250
Cl2 0.168 0.078 0.949
Cl3 0.173 0.332 0.637
```

Properties
E_tot	-126.16	eV for the cell shown
E_form (uncorrected)	-161.8	kJ per mole of atoms



[13]
Below is crystalline Pm2ScGe2 at its relaxed geometry, with properties calculated at the PBE-GGA level.

CIF file:
```
data_Pm2ScGe2
_chemical_formula_sum 'Pm8 Sc4 Ge8'
_cell_length_a 4.393
_cell_length_b 16.164
_cell_length_c 7.661
_cell_angle_alpha 90.00
_cell_angle_beta 90.00
_cell_angle_gamma 90.00
_space_group_name_H-M_alt 'C m c 21'
_space_group_IT_number 36
loop_
_space_group_symop_operation_xyz
'x,y,z'
'-x,-y,z+1/2'
'-x,y,z'
'x,-y,z+1/2'
'x+1/2,y+1/2,z'
'-x+1/2,-y+1/2,z+1/2'
'-x+1/2,y+1/2,z'
'x+1/2,-y+1/2,z+1/2'
loop_
_atom_site_label
_atom_site_fract_x
_atom_site_fract_y
_atom_site_fract_z
Pm1 0.000 0.038 0.000
Pm2 0.000 0.206 0.354
Sc1 0.000 0.404 0.148
Ge1 0.000 0.176 0.746
Ge2 0.000 0.435 0.793
```

Properties
E_tot	-113.75	eV for the cell shown
energy of formation	-65.0	kJ per mole of atoms



[14]
Below is crystalline Nd4Ga2S5O4 at its relaxed geometry, with properties calculated at the PBE-GGA level.

CIF file:
```
data_Nd4Ga2S5O4
_chemical_formula_sum 'Nd32 Ga16 S40 O32'
_cell_length_a 5.832
_cell_length_b 18.611
_cell_length_c 22.904
_cell_angle_alpha 90.00
_cell_angle_beta 90.00
_cell_angle_gamma 90.00
_space_group_name_H-M_alt 'P b c a'
_space_group_IT_number 61
loop_
_space_group_symop_operation_xyz
'x,y,z'
'-x,-y,-z'
'-x+1/2,-y,z+1/2'
'x+1/2,y,-z+1/2'
'x+1/2,-y+1/2,-z'
'-x+1/2,y+1/2,z'
'-x,y+1/2,-z+1/2'
'x,-y+1/2,z+1/2'
loop_
_atom_site_label
_atom_site_fract_x
_atom_site_fract_y
_atom_site_fract_z
Nd1 0.014 0.071 0.053
Nd2 0.016 0.553 0.930
Nd3 0.024 0.538 0.689
Nd4 0.030 0.087 0.316
Ga1 0.035 0.733 0.799
Ga2 0.133 0.233 0.946
S1 0.028 0.627 0.576
S2 0.044 0.613 0.808
S3 0.107 0.682 0.013
S4 0.169 0.700 0.378
S5 0.169 0.727 0.211
O1 0.223 0.532 0.251
O2 0.228 0.522 0.376
O3 0.229 0.527 0.124
O4 0.243 0.004 0.500
```

Properties
E_tot	-797.34	eV for the cell shown
E_form (uncorrected)	-219.2	kJ per mole of atoms



[15]
Below is crystalline Tb7In2Ga2 at its relaxed geometry, with properties calculated at the PBE-GGA level.

CIF file:
```
data_Tb7In2Ga2
_chemical_formula_sum 'Tb14 In4 Ga4'
_cell_length_a 7.953
_cell_length_b 11.169
_cell_length_c 7.403
_cell_angle_alpha 90.00
_cell_angle_beta 90.00
_cell_angle_gamma 90.00
_space_group_name_H-M_alt 'C m m m'
_space_group_IT_number 65
_space_group_name_Hall '-C 2 2'
loop_
_atom_site_label
_atom_site_fract_x
_atom_site_fract_y
_atom_site_fract_z
Tb1 0.000 0.000 0.000
Tb2 0.000 0.500 0.247
Tb3 0.250 0.250 0.275
In1 0.178 0.000 0.500
Ga1 0.000 0.289 0.000
```

Properties
E_tot	-92.13	eV for the cell shown
energy of formation	-18.6	kJ per mole of atoms